BaScCuTeSe2 | PBE | optimized geometry

Structure (CIF):
```
data_BaScCuTeSe2
_cell_length_a 4.113
_cell_length_b 14.568
_cell_length_c 10.689
_cell_angle_alpha 90.00
_cell_angle_beta 90.00
_cell_angle_gamma 90.00
_symmetry_space_group_name_H-M 'C m c m'
_symmetry_Int_Tables_number 63
_symmetry_space_group_name_Hall '-C 2c 2'
loop_
_atom_site_label
_atom_site_type_symbol
_atom_site_fract_x
_atom_site_fract_y
_atom_site_fract_z
Ba1 Ba 0.000 0.231 0.250
Sc1 Sc 0.000 0.000 0.000
Cu1 Cu 0.000 0.467 0.750
Te1 Te 0.000 0.078 0.750
Se1 Se 0.000 0.377 0.556
```

Properties
Uncorrected energy   -5.030 eV/atom